The following is a PBE calculation of crystalline Nd2NpMoN5 at its relaxed geometry, from Alexandria via LeMat-Bulk.

Computed properties:
VASP energy	-9.3874	eV/atom
total moment	3.675	μB per cell

Geometry as CIF:
```
data_Nd2NpMoN5
_symmetry_space_group_name_H-M 'P 1'
_symmetry_Int_Tables_number 1
_cell_length_a 3.516
_cell_length_b 7.137
_cell_length_c 10.540
_cell_angle_alpha 90.00
_cell_angle_beta 90.00
_cell_angle_gamma 104.26
loop_
_symmetry_equiv_pos_as_xyz
'x,y,z'
loop_
_atom_site_label
_atom_site_fract_x
_atom_site_fract_y
_atom_site_fract_z
N1 0.318 0.637 0.387
N2 0.491 0.981 0.787
N3 0.717 0.434 0.148
N4 0.682 0.363 0.887
N5 0.958 0.917 0.542
N6 0.633 0.266 0.502
N7 0.509 0.019 0.287
N8 0.283 0.566 0.648
N9 0.042 0.083 0.042
N10 0.367 0.734 0.001
Nd1 0.142 0.284 0.306
Nd2 0.858 0.716 0.806
Nd3 0.893 0.785 0.183
Nd4 0.107 0.215 0.683
Np1 0.792 0.584 0.513
Np2 0.208 0.416 0.013
Mo1 0.476 0.951 0.458
Mo2 0.524 0.049 0.958
```



The following is a PBE calculation of crystalline NdNp2MoN4 at its relaxed geometry, from Alexandria via LeMat-Bulk.

Computed properties:
VASP energy	-10.2789	eV/atom
total moment	9.973	μB per cell

Geometry as CIF:
```
data_NdNp2MoN4
_symmetry_space_group_name_H-M 'P 1'
_symmetry_Int_Tables_number 1
_cell_length_a 3.369
_cell_length_b 6.165
_cell_length_c 11.541
_cell_angle_alpha 90.00
_cell_angle_beta 90.00
_cell_angle_gamma 105.85
loop_
_symmetry_equiv_pos_as_xyz
'x,y,z'
loop_
_atom_site_label
_atom_site_fract_x
_atom_site_fract_y
_atom_site_fract_z
Np1 0.631 0.262 0.048
Np2 0.631 0.262 0.452
Np3 0.369 0.738 0.548
Np4 0.369 0.738 0.952
N1 0.732 0.463 0.616
N2 0.540 0.081 0.250
N3 0.268 0.537 0.384
N4 0.000 0.000 0.500
N5 0.460 0.919 0.750
N6 0.268 0.537 0.116
N7 0.000 0.000 0.000
N8 0.732 0.463 0.884
Mo1 0.851 0.703 0.750
Mo2 0.149 0.297 0.250
Nd1 0.886 0.772 0.250
Nd2 0.114 0.228 0.750
```



The following is a PBE calculation of crystalline NdPaMoN3 at its relaxed geometry, from Alexandria via LeMat-Bulk.

Computed properties:
VASP energy	-9.3582	eV/atom
total moment	0.938	μB per cell

Geometry as CIF:
```
data_NdPaMoN3
_symmetry_space_group_name_H-M 'P 1'
_symmetry_Int_Tables_number 1
_cell_length_a 3.345
_cell_length_b 7.465
_cell_length_c 7.843
_cell_angle_alpha 97.72
_cell_angle_beta 90.00
_cell_angle_gamma 90.00
loop_
_symmetry_equiv_pos_as_xyz
'x,y,z'
loop_
_atom_site_label
_atom_site_fract_x
_atom_site_fract_y
_atom_site_fract_z
N1 0.750 0.420 0.116
N2 0.250 0.821 0.573
N3 0.750 0.179 0.427
N4 0.750 0.868 0.144
N5 0.250 0.580 0.884
N6 0.250 0.132 0.856
Pa1 0.250 0.643 0.169
Pa2 0.750 0.357 0.831
Nd1 0.250 0.156 0.185
Nd2 0.750 0.844 0.815
Mo1 0.750 0.891 0.419
Mo2 0.250 0.109 0.581
```



The following is a PBE calculation of crystalline Nd2PaMoN5 at its relaxed geometry, from Alexandria via LeMat-Bulk.

Computed properties:
VASP energy	-9.1261	eV/atom
total moment	0.000	μB per cell

Geometry as CIF:
```
data_Nd2PaMoN5
_symmetry_space_group_name_H-M 'P 1'
_symmetry_Int_Tables_number 1
_cell_length_a 3.904
_cell_length_b 3.904
_cell_length_c 8.635
_cell_angle_alpha 90.00
_cell_angle_beta 90.00
_cell_angle_gamma 90.00
loop_
_symmetry_equiv_pos_as_xyz
'x,y,z'
loop_
_atom_site_label
_atom_site_fract_x
_atom_site_fract_y
_atom_site_fract_z
N1 0.500 0.500 0.000
N2 0.000 0.500 0.500
N3 0.000 0.000 0.761
N4 0.500 0.000 0.500
N5 0.000 0.000 0.239
Pa1 0.000 0.000 0.000
Mo1 0.000 0.000 0.500
Nd1 0.500 0.500 0.707
Nd2 0.500 0.500 0.293
```



The following is a PBE calculation of crystalline PrNdMoN3 at its relaxed geometry, from Alexandria via LeMat-Bulk.

Computed properties:
VASP energy	-8.4310	eV/atom
total moment	0.000	μB per cell

Geometry as CIF:
```
data_PrNdMoN3
_symmetry_space_group_name_H-M 'P 1'
_symmetry_Int_Tables_number 1
_cell_length_a 3.593
_cell_length_b 7.601
_cell_length_c 8.295
_cell_angle_alpha 98.03
_cell_angle_beta 90.00
_cell_angle_gamma 90.00
loop_
_symmetry_equiv_pos_as_xyz
'x,y,z'
loop_
_atom_site_label
_atom_site_fract_x
_atom_site_fract_y
_atom_site_fract_z
N1 0.750 0.162 0.556
N2 0.250 0.607 0.871
N3 0.250 0.109 0.852
N4 0.750 0.393 0.129
N5 0.250 0.838 0.444
N6 0.750 0.891 0.148
Pr1 0.750 0.828 0.853
Pr2 0.250 0.172 0.147
Mo1 0.250 0.067 0.613
Mo2 0.750 0.933 0.387
Nd1 0.250 0.632 0.163
Nd2 0.750 0.368 0.837
```



The following is a PBE calculation of crystalline NdPu2MoN4 at its relaxed geometry, from Alexandria via LeMat-Bulk.

Computed properties:
VASP energy	-10.6636	eV/atom
total moment	17.786	μB per cell

Geometry as CIF:
```
data_NdPu2MoN4
_symmetry_space_group_name_H-M 'P 1'
_symmetry_Int_Tables_number 1
_cell_length_a 3.435
_cell_length_b 6.152
_cell_length_c 11.732
_cell_angle_alpha 90.00
_cell_angle_beta 90.00
_cell_angle_gamma 106.21
loop_
_symmetry_equiv_pos_as_xyz
'x,y,z'
loop_
_atom_site_label
_atom_site_fract_x
_atom_site_fract_y
_atom_site_fract_z
N1 0.737 0.474 0.880
N2 0.000 0.000 0.000
N3 0.263 0.526 0.380
N4 0.000 0.000 0.500
N5 0.549 0.097 0.250
N6 0.737 0.474 0.620
N7 0.451 0.903 0.750
N8 0.263 0.526 0.120
Pu1 0.369 0.738 0.955
Pu2 0.631 0.262 0.045
Pu3 0.369 0.738 0.545
Pu4 0.631 0.262 0.455
Nd1 0.107 0.215 0.750
Nd2 0.893 0.785 0.250
Mo1 0.153 0.306 0.250
Mo2 0.847 0.694 0.750
```



The following is a PBE calculation of crystalline Nd2PuMoN4 at its relaxed geometry, from Alexandria via LeMat-Bulk.

Computed properties:
VASP energy	-9.3678	eV/atom
total moment	10.713	μB per cell

Geometry as CIF:
```
data_Nd2PuMoN4
_symmetry_space_group_name_H-M 'P 1'
_symmetry_Int_Tables_number 1
_cell_length_a 3.438
_cell_length_b 6.257
_cell_length_c 12.433
_cell_angle_alpha 90.00
_cell_angle_beta 90.00
_cell_angle_gamma 105.95
loop_
_symmetry_equiv_pos_as_xyz
'x,y,z'
loop_
_atom_site_label
_atom_site_fract_x
_atom_site_fract_y
_atom_site_fract_z
Nd1 0.631 0.261 0.460
Nd2 0.369 0.739 0.540
Nd3 0.369 0.739 0.960
Nd4 0.631 0.261 0.040
Pu1 0.087 0.175 0.750
Pu2 0.913 0.825 0.250
Mo1 0.828 0.655 0.750
Mo2 0.172 0.345 0.250
N1 0.560 0.119 0.250
N2 0.440 0.881 0.750
N3 0.729 0.457 0.868
N4 0.729 0.457 0.632
N5 0.000 0.000 0.000
N6 0.271 0.543 0.132
N7 0.271 0.543 0.368
N8 0.000 0.000 0.500
```



The following is a PBE calculation of crystalline NdPuMoN3 at its relaxed geometry, from Alexandria via LeMat-Bulk.

Computed properties:
VASP energy	-10.0070	eV/atom
total moment	9.260	μB per cell

Geometry as CIF:
```
data_NdPuMoN3
_symmetry_space_group_name_H-M 'P 1'
_symmetry_Int_Tables_number 1
_cell_length_a 3.368
_cell_length_b 7.374
_cell_length_c 7.835
_cell_angle_alpha 97.71
_cell_angle_beta 90.00
_cell_angle_gamma 90.00
loop_
_symmetry_equiv_pos_as_xyz
'x,y,z'
loop_
_atom_site_label
_atom_site_fract_x
_atom_site_fract_y
_atom_site_fract_z
Pu1 0.750 0.360 0.843
Pu2 0.250 0.640 0.157
N1 0.250 0.125 0.849
N2 0.250 0.580 0.880
N3 0.250 0.823 0.570
N4 0.750 0.875 0.151
N5 0.750 0.177 0.430
N6 0.750 0.420 0.120
Mo1 0.750 0.891 0.417
Mo2 0.250 0.109 0.583
Nd1 0.250 0.160 0.184
Nd2 0.750 0.840 0.816
```